A plane-wave DFT calculation with PBE+U was carried out for crystalline B2OsWO at its relaxed geometry.

Output
space-group type	P4/mmm
calculated volume	68	Å³/f.u.
total energy	-29.66	eV per cell

Lattice parameters (Å, degrees): 4.2808 4.2808 3.7107 90.00 90.00 90.00
Atoms (fractional coordinates):
B1 0.0000 0.5000 0.0000
B2 0.5000 0.0000 0.0000
Os1 0.0000 0.0000 0.5000
W1 0.5000 0.5000 0.0000
O1 0.5000 0.5000 0.5000